No. 1
! TbNd2Mg3In3 | OQMD | PBE | relaxed; values from VASP
&SYSTEM
  ibrav = 0, nat = 9, ntyp = 4
/
ATOMIC_SPECIES
Nd 144.24 Nd.upf
In 114.82 In.upf
Mg 24.30 Mg.upf
Tb 158.93 Tb.upf
CELL_PARAMETERS angstrom
-2.490 4.033 -0.100
-4.612 -2.713 5.428
6.238 3.900 1.992
ATOMIC_POSITIONS crystal
Nd 0.000 0.999 0.567
Nd 0.000 0.567 0.999
In 0.500 0.663 0.335
In 0.000 0.005 0.005
In 0.500 0.335 0.663
Mg 0.500 0.760 0.760
Mg 0.500 0.241 0.000
Mg 0.500 0.000 0.241
Tb 0.000 0.431 0.431
! M_tot = 0.01 μB per cell
! E = -3.415 eV/atom

---

No. 2
! TbNdMgIn | OQMD | PBE | relaxed; values from VASP
&SYSTEM
  ibrav = 0, nat = 4, ntyp = 4
/
ATOMIC_SPECIES
Mg 24.30 Mg.upf
Tb 158.93 Tb.upf
In 114.82 In.upf
Nd 144.24 Nd.upf
CELL_PARAMETERS angstrom
2.443 -4.418 -1.919
-2.134 -4.877 0.911
-2.233 -2.772 -4.062
ATOMIC_POSITIONS crystal
Mg 0.000 0.000 0.000
Tb 0.250 0.250 0.250
In 0.500 0.500 0.500
Nd 0.750 0.750 0.750
! M_tot = 0.00 μB per cell
! E = -3.749 eV/atom

---

No. 3
! Tb2NdMg3Tl2In | OQMD | PBE | relaxed; values from VASP
&SYSTEM
  ibrav = 0, nat = 9, ntyp = 5
/
ATOMIC_SPECIES
Mg 24.30 Mg.upf
Tl 204.38 Tl.upf
Nd 144.24 Nd.upf
Tb 158.93 Tb.upf
In 114.82 In.upf
CELL_PARAMETERS angstrom
4.710 0.000 0.000
0.000 6.623 3.777
0.000 -6.623 3.777
ATOMIC_POSITIONS crystal
Mg 0.500 0.241 0.001
Mg 0.500 0.757 0.757
Mg 0.500 0.001 0.241
Tl 0.500 0.332 0.671
Tl 0.500 0.671 0.332
Nd 0.000 0.434 0.434
Tb 0.000 0.001 0.569
Tb 0.000 0.569 0.001
In 0.000 0.993 0.993
! M_tot = 0.01 μB per cell
! E = -3.267 eV/atom